## Pm3Ge3Ru (GGA-PBE)

Data for crystalline Pm3Ge3Ru at its relaxed geometry.

Unit cell a=11.092 b=4.364 c=14.230 alpha=90.00 beta=111.12 gamma=90.00
Space group C2/m (No. 12)
Symmetry-distinct sites (fractional):
Pm  0.023  0.000  0.377 x4
Pm  0.099  0.000  0.920 x4
Pm  0.245  0.000  0.230 x4
Ge  0.051  0.500  0.241 x4
Ge  0.119  0.500  0.074 x4
Ge  0.141  0.500  0.545 x4
Ru  0.245  0.500  0.415 x4

Results
As for the total DFT energy (no corrections): -6.13 eV/atom. The density of states at the Fermi level is 19.82 states/eV/cell. The value obtained for the energy relative to the elements is -788 meV/atom.

=====

## Pm2Ge4Ru (GGA-PBE)

Data for crystalline Pm2Ge4Ru at its relaxed geometry.

Unit cell a=5.960 b=5.960 c=8.987 alpha=90.00 beta=90.00 gamma=90.00
Space group I4/mmm (No. 139)
Symmetry-distinct sites (fractional):
Pm  0.000  0.500  0.250 x4
Ge  0.212  0.212  0.000 x8
Ru  0.000  0.000  0.500 x2

Results
As for the total DFT energy (no corrections): -5.74 eV/atom. The density of states at the Fermi level is 9.27 states/eV/cell. The value obtained for the energy relative to the elements is -419 meV/atom.

=====

## Pm3Ge4Ru (GGA-PBE)

Data for crystalline Pm3Ge4Ru at its relaxed geometry.

Unit cell a=4.449 b=5.873 c=14.883 alpha=90.00 beta=90.00 gamma=90.00
Space group Immm (No. 71)
Symmetry-distinct sites (fractional):
Pm  0.000  0.000  0.000 x2
Pm  0.000  0.500  0.193 x4
Ge  0.000  0.285  0.378 x8
Ru  0.000  0.000  0.500 x2

Results
As for the total DFT energy (no corrections): -5.83 eV/atom. The density of states at the Fermi level is 9.82 states/eV/cell. The value obtained for the energy relative to the elements is -579 meV/atom.

=====

## Pm2GeRu (GGA-PBE)

Data for crystalline Pm2GeRu at its relaxed geometry.

Unit cell a=4.845 b=4.845 c=3.852 alpha=90.00 beta=90.00 gamma=90.00
Space group P4/mmm (No. 123)
Symmetry-distinct sites (fractional):
Pm  0.000  0.500  0.000 x2
Ge  0.000  0.000  0.500 x1
Ru  0.500  0.500  0.500 x1

Results
As for the total DFT energy (no corrections): -6.24 eV/atom. The density of states at the Fermi level is 2.53 states/eV/cell. The value obtained for the energy relative to the elements is -392 meV/atom.

=====

## PmGe3Ru (GGA-PBE)

Data for crystalline PmGe3Ru at its relaxed geometry.

Unit cell a=4.406 b=4.406 c=10.170 alpha=90.00 beta=90.00 gamma=90.00
Space group I4mm (No. 107)
Symmetry-distinct sites (fractional):
Pm  0.000  0.000  0.000 x2
Ge  0.000  0.000  0.428 x2
Ge  0.000  0.500  0.262 x4
Ru  0.000  0.000  0.661 x2

Results
As for the total DFT energy (no corrections): -6.15 eV/atom. The density of states at the Fermi level is 3.53 states/eV/cell. The relative energy among the computed polymorphs comes out at 0.00 kJ/mol of atoms. The value obtained for the energy relative to the elements is -576 meV/atom.

=====

## Pm3Ge2Ru (GGA-PBE)

Data for crystalline Pm3Ge2Ru at its relaxed geometry.

Unit cell a=7.8836 b=7.8836 c=17.7355 alpha=90.00 beta=90.00 gamma=120.00
Space group R-3c (No. 167, hexagonal axes)
Symmetry-distinct sites (fractional):
Pm  0.0000  0.3166  0.2500 x18
Ge  0.0000  0.0000  0.1469 x12
Ru  0.0000  0.0000  0.0000 x6

Results
As for the total DFT energy (no corrections): -5.98 eV/atom. The density of states at the Fermi level is 26.45 states/eV/cell. The relative energy among the computed polymorphs comes out at 17.14 kJ/mol of atoms. The value obtained for the energy relative to the elements is -515 meV/atom.

=====

## Pm12Ge5Ru3 (GGA-PBE)

Data for crystalline Pm12Ge5Ru3 at its relaxed geometry.

Unit cell a=17.120 b=17.120 c=17.120 alpha=90.00 beta=90.00 gamma=90.00
Space group Ia-3d (No. 230)
Symmetry-distinct sites (fractional):
Pm  0.018  0.073  0.653 x96
Ge  0.000  0.000  0.000 x16
Ge  0.000  0.250  0.375 x24
Ru  0.000  0.250  0.125 x24

Results
As for the total DFT energy (no corrections): -5.46 eV/atom. The density of states at the Fermi level is 133.89 states/eV/cell. The value obtained for the energy relative to the elements is -66 meV/atom.

=====

## Pm2Ge6Ru (GGA-PBE)

Data for crystalline Pm2Ge6Ru at its relaxed geometry.

Unit cell a=4.257 b=3.974 c=22.460 alpha=90.00 beta=90.00 gamma=90.00
Space group Amm2 (No. 38)
Symmetry-distinct sites (fractional):
Pm  0.000  0.000  0.000 x2
Pm  0.000  0.000  0.338 x2
Ge  0.000  0.000  0.619 x2
Ge  0.000  0.000  0.731 x2
Ge  0.500  0.000  0.125 x2
Ge  0.500  0.000  0.237 x2
Ge  0.500  0.000  0.452 x2
Ge  0.500  0.000  0.880 x2
Ru  0.500  0.000  0.562 x2

Results
As for the total DFT energy (no corrections): -5.61 eV/atom. The density of states at the Fermi level is 8.36 states/eV/cell. The relative energy among the computed polymorphs comes out at 3.26 kJ/mol of atoms. The value obtained for the energy relative to the elements is -442 meV/atom.

=====

## Pm4GeRu2 (GGA-PBE)

Data for crystalline Pm4GeRu2 at its relaxed geometry.

Unit cell a=6.879 b=6.961 c=8.793 alpha=110.39 beta=105.99 gamma=100.19
Space group P1 (No. 1)
Symmetry-distinct sites (fractional):
Pm  0.000  0.000  0.000 x1
Pm  0.007  0.325  0.476 x1
Pm  0.065  0.449  0.929 x1
Pm  0.183  0.850  0.411 x1
Pm  0.425  0.820  0.881 x1
Pm  0.574  0.390  0.606 x1
Pm  0.609  0.395  0.108 x1
Pm  0.708  0.873  0.530 x1
Ge  0.302  0.422  0.291 x1
Ge  0.747  0.876  0.203 x1
Ru  0.004  0.719  0.694 x1
Ru  0.211  0.143  0.734 x1
Ru  0.477  0.090  0.261 x1
Ru  0.606  0.136  0.794 x1

Results
As for the total DFT energy (no corrections): -6.33 eV/atom. The density of states at the Fermi level is 9.12 states/eV/cell. The value obtained for the energy relative to the elements is -306 meV/atom.

=====

## Pm2Ge3Ru (GGA-PBE)

Data for crystalline Pm2Ge3Ru at its relaxed geometry.

Unit cell a=4.050 b=4.623 c=15.260 alpha=90.00 beta=90.00 gamma=90.00
Space group Immm (No. 71)
Symmetry-distinct sites (fractional):
Pm  0.000  0.000  0.148 x4
Ge  0.000  0.000  0.338 x4
Ge  0.000  0.500  0.500 x2
Ru  0.000  0.000  0.500 x2

Results
As for the total DFT energy (no corrections): -5.80 eV/atom. The density of states at the Fermi level is 9.93 states/eV/cell. The relative energy among the computed polymorphs comes out at 27.26 kJ/mol of atoms. The value obtained for the energy relative to the elements is -366 meV/atom.

=====

## PmGe2Ru (GGA-PBE)

Data for crystalline PmGe2Ru at its relaxed geometry.

Unit cell a=4.178 b=4.178 c=4.369 alpha=90.00 beta=90.00 gamma=90.00
Space group P4/mmm (No. 123)
Symmetry-distinct sites (fractional):
Pm  0.000  0.000  0.000 x1
Ge  0.000  0.500  0.500 x2
Ru  0.500  0.500  0.000 x1

Results
As for the total DFT energy (no corrections): -6.02 eV/atom. The density of states at the Fermi level is 2.78 states/eV/cell. The relative energy among the computed polymorphs comes out at 41.33 kJ/mol of atoms. The value obtained for the energy relative to the elements is -202 meV/atom.

=====

## Pm3Ge2Ru (GGA-PBE)

Data for crystalline Pm3Ge2Ru at its relaxed geometry.

Unit cell a=12.066 b=4.261 c=11.573 alpha=90.00 beta=90.00 gamma=90.00
Space group Pnma (No. 62)
Symmetry-distinct sites (fractional):
Pm  0.056  0.250  0.128 x4
Pm  0.120  0.750  0.554 x4
Pm  0.222  0.250  0.797 x4
Ge  0.015  0.750  0.312 x4
Ge  0.192  0.750  0.996 x4
Ru  0.130  0.250  0.367 x4

Results
As for the total DFT energy (no corrections): -6.15 eV/atom. The density of states at the Fermi level is 17.65 states/eV/cell. The relative energy among the computed polymorphs comes out at 0.00 kJ/mol of atoms. The value obtained for the energy relative to the elements is -692 meV/atom.